# 1
# Ta6FeRu

Ta6FeRu after structural relaxation (PBE, Alexandria).

Cell: 7.2698 7.2698 7.2698 Å, 143.66 143.66 52.33°
Fractional positions:
Ta1 0.1194 0.6194 0.5000
Ta2 0.2492 0.2492 0.0000
Ta3 0.3806 0.8806 0.5000
Ta4 0.6194 0.1194 0.5000
Ta5 0.7508 0.7508 0.0000
Ta6 0.8806 0.3806 0.5000
Fe1 0.0000 0.0000 0.0000
Ru1 0.5000 0.5000 0.0000

Summary:
Magnetization (μB/f.u.): 0.56
E_tot (eV per formula unit): -90.2
Energy of formation (eV per atom): -0.17
Crystal system: tetragonal
V (Å³ per cell): 134.1


# 2
# In2AsAu

In2AsAu after structural relaxation (PBE, Alexandria).

Cell: 6.9707 6.9707 6.9707 Å, 34.49 34.49 34.49°
Fractional positions:
In1 0.0000 0.0000 0.0000
In2 0.1706 0.1706 0.1706
As1 0.5799 0.5799 0.5799
Au1 0.4173 0.4173 0.4173

Summary:
Magnetization (μB/f.u.): 0.00
E_tot (eV per formula unit): -13.7
Energy of formation (eV per atom): -0.07
Crystal system: trigonal
V (Å³ per cell): 96.9


# 3
# Rb2Hg2PtI4

Rb2Hg2PtI4 after structural relaxation (PBE, Alexandria).

Cell: 7.7537 7.7537 7.7537 Å, 113.82 113.82 101.09°
Fractional positions:
Rb1 0.2500 0.7500 0.5000
Rb2 0.7500 0.2500 0.5000
Hg1 0.1851 0.1851 0.0000
Hg2 0.8149 0.8149 0.0000
Pt1 0.5000 0.5000 0.0000
I1 0.2768 0.2768 0.5536
I2 0.2768 0.7232 0.0000
I3 0.7232 0.2768 0.0000
I4 0.7232 0.7232 0.4464

Summary:
Magnetization (μB/f.u.): 0.00
E_tot (eV per formula unit): -21.1
Crystal system: tetragonal
V (Å³ per cell): 353.2
E_form (uncorrected) (eV per atom): -0.705


# 4
# TbPrIrRu

TbPrIrRu after structural relaxation (PBE, Alexandria).

Cell: 4.9422 4.9422 4.9422 Å, 60.00 60.00 60.00°
Fractional positions:
Tb1 0.0000 0.0000 0.0000
Pr1 0.5000 0.5000 0.5000
Ir1 0.7500 0.7500 0.7500
Ru1 0.2500 0.2500 0.2500

Summary:
Magnetization (μB/f.u.): 0.00
E_tot (eV per formula unit): -29.1
Energy of formation (eV per atom): -0.39
Crystal system: cubic
V (Å³ per cell): 85.4


# 5
# CaCoH3

CaCoH3 after structural relaxation (PBE, Alexandria).

Cell: 4.8447 4.8447 4.7865 Å, 90.08 90.08 59.97°
Fractional positions:
Ca1 0.1667 0.1667 0.2500
Ca2 0.8333 0.8333 0.7500
Co1 0.5000 0.5000 0.0000
Co2 0.5000 0.5000 0.5000
H1 0.2046 0.6478 0.2496
H2 0.3523 0.3523 0.7494
H3 0.3522 0.7954 0.7504
H4 0.6478 0.2046 0.2496
H5 0.6477 0.6477 0.2506
H6 0.7954 0.3522 0.7504

Summary:
Magnetization (μB/f.u.): 0.00
E_tot (eV per formula unit): -21.1
Crystal system: monoclinic
V (Å³ per cell): 97.3


# 6
# Hf2HgHRh

Hf2HgHRh after structural relaxation (PBE, Alexandria).

Cell: 4.4778 4.4778 3.9101 Å, 90.00 90.00 90.00°
Fractional positions:
Hf1 0.0000 0.5000 0.0000
Hf2 0.5000 0.0000 0.0000
Hg1 0.0000 0.0000 0.5000
H1 0.5000 0.5000 0.0000
Rh1 0.5000 0.5000 0.5000

Summary:
Magnetization (μB/f.u.): 0.00
E_tot (eV per formula unit): -32.5
Crystal system: tetragonal
V (Å³ per cell): 78.4


# 7
# LaTm3S6

LaTm3S6 after structural relaxation (PBE, Alexandria).

Cell: 11.0259 3.9791 11.2831 Å, 90.00 108.88 90.00°
Fractional positions:
La1 0.0512 0.2500 0.1959
La2 0.9488 0.7500 0.8041
Tm1 0.1609 0.2500 0.5883
Tm2 0.3213 0.7500 0.9994
Tm3 0.4454 0.2500 0.3336
Tm4 0.5546 0.7500 0.6664
Tm5 0.6787 0.2500 0.0006
Tm6 0.8391 0.7500 0.4117
S1 0.0823 0.7500 0.4089
S2 0.1218 0.2500 0.9632
S3 0.1990 0.7500 0.7487
S4 0.2706 0.7500 0.2301
S5 0.3928 0.2500 0.5564
S6 0.4780 0.2500 0.1110
S7 0.5220 0.7500 0.8890
S8 0.6072 0.7500 0.4436
S9 0.7294 0.2500 0.7699
S10 0.8010 0.2500 0.2513
S11 0.8782 0.7500 0.0368
S12 0.9177 0.2500 0.5911

Summary:
Magnetization (μB/f.u.): 0.00
E_tot (eV per formula unit): -64.4
Crystal system: monoclinic
V (Å³ per cell): 468.4
E_form (uncorrected) (eV per atom): -2.125


# 8
# CdSnS2Cl

CdSnS2Cl after structural relaxation (PBE, Alexandria).

Cell: 5.0630 5.0630 5.0670 Å, 90.00 90.00 90.00°
Fractional positions:
Cd1 0.0000 0.0000 0.0000
Sn1 0.5000 0.5000 0.5000
S1 0.0000 0.5000 0.5000
S2 0.5000 0.0000 0.5000
Cl1 0.5000 0.5000 0.0000

Summary:
Magnetization (μB/f.u.): 0.00
E_tot (eV per formula unit): -15.3
Crystal system: tetragonal
V (Å³ per cell): 129.9
E_form (uncorrected) (eV per atom): -0.049


# 9
# Mn2HgBr6

Mn2HgBr6 after structural relaxation (PBE, Alexandria).

Cell: 7.0348 7.0348 8.6979 Å, 101.64 101.64 42.58°
Fractional positions:
Mn1 0.2188 0.2188 0.1670
Mn2 0.7812 0.7812 0.8330
Hg1 0.0000 0.0000 0.5000
Br1 0.0254 0.0254 0.2165
Br2 0.3179 0.3179 0.9306
Br3 0.3470 0.3470 0.4180
Br4 0.6530 0.6530 0.5820
Br5 0.6821 0.6821 0.0694
Br6 0.9746 0.9746 0.7835

Summary:
Magnetization (μB/f.u.): 10.00
E_tot (eV per formula unit): -34.1
Crystal system: monoclinic
V (Å³ per cell): 284.3
E_form (uncorrected) (eV per atom): -0.599


# 10
# BaLaZr2

BaLaZr2 after structural relaxation (PBE, Alexandria).

Cell: 5.9613 5.9613 6.8234 Å, 95.73 95.73 32.90°
Fractional positions:
Ba1 0.0000 0.0000 0.0000
La1 0.5000 0.5000 0.5000
Zr1 0.2424 0.2424 0.6852
Zr2 0.7576 0.7576 0.3148

Summary:
Magnetization (μB/f.u.): 0.00
E_tot (eV per formula unit): -22.1
Energy of formation (eV per atom): 0.45
Crystal system: monoclinic
V (Å³ per cell): 131.0


# 11
# CeNdCuPd

CeNdCuPd after structural relaxation (PBE, Alexandria).

Cell: 5.0790 5.0790 5.0790 Å, 60.00 60.00 60.00°
Fractional positions:
Ce1 0.0000 0.0000 0.0000
Nd1 0.5000 0.5000 0.5000
Cu1 0.2500 0.2500 0.2500
Pd1 0.7500 0.7500 0.7500

Summary:
Magnetization (μB/f.u.): 0.89
E_tot (eV per formula unit): -21.4
Energy of formation (eV per atom): -0.36
Crystal system: cubic
V (Å³ per cell): 92.6


# 12
# LaNd3Dy2Tm6

LaNd3Dy2Tm6 after structural relaxation (PBE, Alexandria).

Cell: 6.1912 6.1912 11.7343 Å, 95.03 95.03 119.98°
Fractional positions:
La1 0.0000 0.0000 0.0000
Nd1 0.1670 0.8330 0.5000
Nd2 0.5000 0.5000 0.5000
Nd3 0.8330 0.1670 0.5000
Dy1 0.3332 0.6668 0.0000
Dy2 0.6668 0.3332 0.0000
Tm1 0.0836 0.4181 0.2491
Tm2 0.2510 0.2510 0.7508
Tm3 0.4181 0.0836 0.2491
Tm4 0.5819 0.9164 0.7509
Tm5 0.7490 0.7490 0.2492
Tm6 0.9164 0.5819 0.7509

Summary:
Magnetization (μB/f.u.): 0.00
E_tot (eV per formula unit): -55.0
Energy of formation (eV per atom): 0.02
Crystal system: monoclinic
V (Å³ per cell): 383.6